Here is a relaxed HfAsSe2 crystal from Alexandria via LeMat-Bulk. Energies are from GGA-PBE.

extended XYZ file:
```
8
Lattice="7.308 0.000 0.000 0.000 7.308 0.000 3.654 3.654 3.289" Properties=species:S:1:pos:R:3 pbc="T T T"
As 3.654 3.654 0.000
As 3.654 7.308 1.644
Hf 0.000 0.000 0.000
Hf 7.308 3.654 1.644
Se 5.558 1.827 0.822
Se 1.749 5.481 0.822
Se 5.481 5.403 2.467
Se 9.135 9.212 2.467
```

Results
The uncorrected formation energy is -0.249 eV per atom.

***

Here is a relaxed Dy3Y2S6 crystal from Alexandria via LeMat-Bulk. Energies are from GGA-PBE.

extended XYZ file:
```
11
Lattice="6.498 0.000 1.932 3.249 5.849 0.966 0.348 0.000 6.733" Properties=species:S:1:pos:R:3 pbc="T T T"
Dy 0.000 0.000 0.000
Dy 3.249 1.906 0.966
Dy 6.498 3.943 1.932
Y 3.423 3.913 4.332
Y 6.672 1.936 5.298
S 5.130 3.897 6.511
S 5.130 0.000 6.475
S 1.881 1.952 5.545
S 1.716 0.000 2.189
S 4.965 1.952 3.119
S 8.214 3.897 4.085
```

Results
The uncorrected formation energy is -2.076 eV per atom.

***

Here is a relaxed MgTc2W crystal from Alexandria via LeMat-Bulk. Energies are from GGA-PBE.

extended XYZ file:
```
4
Lattice="5.180 0.004 0.000 2.504 4.534 0.000 -3.842 -2.269 2.631" Properties=species:S:1:pos:R:3 pbc="T T T"
Mg 2.590 0.002 1.315
Tc 0.000 0.000 0.000
Tc 1.252 2.267 1.315
W 3.842 2.269 0.000
```

Results
The electronic total energy is -8.501 eV/atom.

***

Here is a relaxed Tb2SmDy crystal from Alexandria via LeMat-Bulk. Energies are from GGA-PBE.

extended XYZ file:
```
4
Lattice="-2.293 2.048 -1.815 -2.731 -1.868 1.342 -0.508 6.369 7.827" Properties=species:S:1:pos:R:3 pbc="T T T"
Tb -0.383 4.795 5.892
Tb -0.126 1.574 1.935
Sm -2.766 3.275 3.677
Dy -2.512 0.090 -0.237
```

Results
The energy above the most stable polymorph in this dataset comes out at 4.6 meV/atom.

***

Here is a relaxed TlTe4Se crystal from Alexandria via LeMat-Bulk. Energies are from GGA-PBE.

extended XYZ file:
```
6
Lattice="0.000 4.525 4.525 4.525 0.000 4.525 4.525 4.525 0.000" Properties=species:S:1:pos:R:3 pbc="T T T"
Tl 6.788 6.788 6.788
Te 3.374 5.677 5.677
Te 5.677 5.677 3.374
Te 5.677 3.374 5.677
Te 3.374 3.374 3.374
Se 0.000 0.000 0.000
```

Results
The uncorrected formation energy is 0.313 eV per atom.

***

Here is a relaxed Ba3AcSm2Te6 crystal from Alexandria via LeMat-Bulk. Energies are from GGA-PBE.

extended XYZ file:
```
12
Lattice="-8.068 1.087 -0.005 3.181 -6.820 -3.105 1.161 -1.540 8.142" Properties=species:S:1:pos:R:3 pbc="T T T"
Ba 1.931 -6.302 1.471
Ba -5.656 -0.971 3.561
Ba -1.862 -3.637 2.516
Ac 0.000 0.000 0.000
Sm -0.561 -4.189 -2.073
Sm -4.325 -1.544 -1.036
Te -4.715 -4.140 4.488
Te -3.307 -4.529 -0.450
Te 0.990 -3.133 0.544
Te -0.839 -6.864 3.420
Te -0.418 -2.745 5.482
Te -2.886 -0.409 1.612
```

Results
The uncorrected formation energy is -1.581 eV per atom.

***

Here is a relaxed PuGePt2 crystal from Alexandria via LeMat-Bulk. Energies are from GGA-PBE.

extended XYZ file:
```
4
Lattice="4.293 0.000 0.000 2.147 3.718 0.000 2.147 1.239 4.992" Properties=species:S:1:pos:R:3 pbc="T T T"
Ge 4.293 2.479 2.496
Pt 6.440 3.718 3.236
Pt 2.147 1.239 1.756
Pu 0.000 0.000 0.000
```

Results
The electronic total energy is -8.383 eV/atom.

***

Here is a relaxed SmErGeRu crystal from Alexandria via LeMat-Bulk. Energies are from GGA-PBE.

extended XYZ file:
```
4
Lattice="4.962 0.000 0.000 2.481 4.297 0.000 2.481 1.432 4.051" Properties=species:S:1:pos:R:3 pbc="T T T"
Ru 7.443 4.297 3.039
Ge 2.481 1.432 1.013
Sm 0.000 0.000 0.000
Er 4.962 2.865 2.026
```

Results
The energy above the most stable polymorph in this dataset comes out at 167.2 meV/atom.